(1)
TaPb2Se | Alexandria | PBE-GGA | relaxed; E = -5.501 eV/atom; formation energy from raw total energies = 0.75 eV per formula unit; total magnetization = 0.00 μB/f.u.
1.0
-0.106 1.640 -4.288
-3.553 -1.503 -0.487
-3.985 3.856 1.572
Pb Se Ta
2 1 1
Direct
0.000 0.966 0.940
0.500 0.283 0.310
0.000 0.686 0.504
0.500 0.564 0.746

=====

(2)
MnNi5Rh4 | Alexandria | PBE-GGA | relaxed; E = -6.752 eV/atom; energy of formation = -4.2 meV per atom; total magnetization = 6.04 μB/f.u.
1.0
-3.082 1.970 0.668
-1.469 -3.499 3.535
5.720 4.849 1.747
Ni Mn Rh
5 1 4
Direct
0.300 0.202 0.601
0.700 0.798 0.399
0.901 0.597 0.802
0.099 0.403 0.198
0.500 0.500 0.000
0.500 0.000 0.000
0.300 0.702 0.601
0.902 0.110 0.805
0.098 0.890 0.195
0.700 0.298 0.399

=====

(3)
PrSi4Pd8 | Alexandria | PBE-GGA | relaxed; E = -5.867 eV/atom; formation energy from raw total energies = -8.26 eV per formula unit; total magnetization = 0.00 μB/f.u.
1.0
-1.117 -3.724 3.569
5.221 -4.077 1.283
1.293 1.940 6.332
Si Pd Pr
4 8 1
Direct
0.500 0.000 0.500
0.000 0.000 0.500
0.000 0.500 0.000
0.500 0.500 0.000
0.334 0.666 0.666
0.000 0.666 0.334
0.275 0.225 0.225
0.725 0.775 0.775
0.500 0.225 0.775
0.666 0.334 0.334
0.500 0.775 0.225
0.000 0.334 0.666
0.000 0.000 0.000

=====

(4)
MgScVNi | Alexandria | PBE-GGA | relaxed; energy relative to the lowest polymorph listed for this composition = 0.30 eV/f.u.; E = -5.603 eV/atom; energy of formation = 103.0 meV per atom; total magnetization = 2.68 μB/f.u.
1.0
3.803 0.000 0.009
0.000 3.971 0.000
-0.011 0.000 4.438
Sc Mg V Ni
1 1 1 1
Direct
0.941 0.000 0.910
0.941 0.500 0.410
0.441 0.000 0.410
0.441 0.500 0.910